DFT (PBE-GGA) results for LaY2ZrPt after structural relaxation.

## Properties
* formation energy from the elements: 864 meV per atom
* total energy: -28.1 eV/cell
* space group: P4/mmm (123)
* density of states at the Fermi level: 1.608 states/eV per atom

Cell and atoms, written as POSCAR:
```
LaY2ZrPt
1.0
5.493 0.000 0.000
0.000 5.043 0.000
0.000 0.000 5.493
Y Zr Pt La
2 1 1 1
direct
0.000 0.000 0.500 Y
0.500 0.000 0.000 Y
0.500 0.500 0.500 Zr
0.000 0.500 0.000 Pt
0.000 0.000 0.000 La
```

---

DFT (PBE-GGA) results for RbLiSn2 after structural relaxation.

## Properties
* formation energy from the elements: -29 meV per atom
* total energy: -22.0 eV/cell
* energy above the most stable polymorph in this dataset: 0.2428 eV per atom
* space group: I4_1/amd (141)
* density of states at the Fermi level: 0.433 states/eV per atom

Cell and atoms, written as POSCAR:
```
RbLiSn2
1.0
5.716 0.000 0.000
0.000 5.716 0.000
2.858 2.858 9.974
Sn Rb Li
4 2 2
direct
0.376 0.125 0.250 Sn
0.374 0.625 0.250 Sn
0.375 0.624 0.750 Sn
0.875 0.626 0.750 Sn
0.000 0.000 0.000 Rb
0.750 0.250 0.500 Rb
0.500 0.500 0.000 Li
0.250 0.750 0.500 Li
```

---

DFT (PBE-GGA) results for AlCdN3 after structural relaxation.

## Properties
* total energy: -18.0 eV/cell
* space group: Pm-3m (221)
* density of states at the Fermi level: 0.541 states/eV per atom

Cell and atoms, written as POSCAR:
```
AlCdN3
1.0
4.141 0.000 0.000
0.000 4.141 0.000
0.000 0.000 4.141
N Al Cd
3 1 1
direct
0.000 0.500 0.000 N
0.000 0.000 0.500 N
0.500 0.000 0.000 N
0.500 0.500 0.500 Al
0.000 0.000 0.000 Cd
```

---

DFT (PBE-GGA) results for Pm2Y3Ga4 after structural relaxation.

## Properties
* formation energy from the elements: -431 meV per atom
* total energy: -89.8 eV/cell
* energy above the most stable polymorph in this dataset: 0.1648 eV per atom
* space group: Cmce (64)
* density of states at the Fermi level: 0.684 states/eV per atom

Cell and atoms, written as POSCAR:
```
Pm2Y3Ga4
1.0
6.955 0.000 0.000
0.000 8.666 0.000
-3.478 0.000 7.861
Pm Y Ga
4 6 8
direct
0.107 0.581 0.215 Pm
0.893 0.419 0.785 Pm
0.393 0.081 0.785 Pm
0.607 0.919 0.215 Pm
0.000 0.000 0.000 Y
0.500 0.500 0.000 Y
0.537 0.750 0.574 Y
0.963 0.250 0.426 Y
0.463 0.250 0.426 Y
0.037 0.750 0.574 Y
0.722 0.750 0.945 Ga
0.778 0.250 0.055 Ga
0.278 0.250 0.055 Ga
0.222 0.750 0.945 Ga
0.188 0.959 0.377 Ga
0.812 0.041 0.623 Ga
0.312 0.459 0.623 Ga
0.688 0.541 0.377 Ga
```

---

DFT (PBE-GGA) results for Ac2AlSi4Rh3 after structural relaxation.

## Properties
* total energy: -64.0 eV/cell
* space group: P-4m2 (115)
* density of states at the Fermi level: 0.605 states/eV per atom

Cell and atoms, written as POSCAR:
```
Ac2AlSi4Rh3
1.0
4.293 0.000 0.000
0.000 4.293 0.000
0.000 0.000 10.317
Ac Al Si Rh
2 1 4 3
direct
0.500 0.000 0.243 Ac
0.000 0.500 0.757 Ac
0.500 0.500 0.500 Al
0.500 0.500 0.000 Si
0.000 0.000 0.000 Si
0.500 0.000 0.638 Si
0.000 0.500 0.362 Si
0.000 0.000 0.500 Rh
0.500 0.000 0.882 Rh
0.000 0.500 0.118 Rh
```

---

DFT (PBE-GGA) results for FeP2Pb after structural relaxation.

## Properties
* formation energy from the elements: 31 meV per atom
* total energy: -22.9 eV/cell
* space group: P2/m (10)
* density of states at the Fermi level: 0.649 states/eV per atom

Cell and atoms, written as POSCAR:
```
FeP2Pb
1.0
3.746 0.000 0.000
0.000 4.309 0.022
0.000 1.379 4.579
Fe P Pb
1 2 1
direct
0.500 0.750 0.750 Fe
0.000 0.980 0.849 P
0.000 0.520 0.651 P
0.500 0.250 0.250 Pb
```

---

DFT (PBE-GGA) results for Na4As2Ru after structural relaxation.

## Properties
* formation energy from the elements: 580 meV per atom
* total energy: -19.8 eV/cell
* space group: I4/mmm (139)
* density of states at the Fermi level: 0.811 states/eV per atom

Cell and atoms, written as POSCAR:
```
Na4As2Ru
1.0
5.690 0.000 0.000
0.000 5.690 0.000
2.845 2.845 6.950
Ru As Na
1 2 4
direct
0.000 0.000 0.000 Ru
0.585 0.585 0.830 As
0.415 0.415 0.170 As
0.792 0.792 0.416 Na
0.208 0.208 0.584 Na
0.000 0.500 0.000 Na
0.500 0.000 0.000 Na
```

---

DFT (PBE-GGA) results for Li2Sc2Ag after structural relaxation.

## Properties
* formation energy from the elements: 329 meV per atom
* total energy: -35.4 eV/cell
* energy above the most stable polymorph in this dataset: 0.2409 eV per atom
* space group: P4/mbm (127)
* density of states at the Fermi level: 1.039 states/eV per atom

Cell and atoms, written as POSCAR:
```
Li2Sc2Ag
1.0
-2.537 -7.100 -1.460
7.120 -2.151 -1.911
0.636 -0.930 3.416
Sc Ag Li
4 2 4
direct
0.355 0.855 0.000 Sc
0.855 0.645 0.000 Sc
0.645 0.145 0.000 Sc
0.145 0.355 0.000 Sc
0.000 0.000 0.000 Ag
0.500 0.500 0.000 Ag
0.153 0.653 0.500 Li
0.653 0.847 0.500 Li
0.847 0.347 0.500 Li
0.347 0.153 0.500 Li
```

---

DFT (PBE-GGA) results for Te6PdRh2 after structural relaxation.

## Properties
* total energy: -80.0 eV/cell
* energy above the most stable polymorph in this dataset: 0.2445 eV per atom
* space group: P4_2/mnm (136)
* density of states at the Fermi level: 1.495 states/eV per atom

Cell and atoms, written as POSCAR:
```
Te6PdRh2
1.0
6.154 0.000 0.000
0.000 6.154 0.000
0.000 0.000 12.602
Te Pd Rh
12 2 4
direct
0.695 0.695 0.170 Te
0.695 0.695 0.830 Te
0.693 0.693 0.500 Te
0.807 0.193 0.000 Te
0.805 0.195 0.330 Te
0.805 0.195 0.670 Te
0.195 0.805 0.330 Te
0.195 0.805 0.670 Te
0.193 0.807 0.000 Te
0.307 0.307 0.500 Te
0.305 0.305 0.170 Te
0.305 0.305 0.830 Te
0.500 0.500 0.000 Pd
0.000 0.000 0.500 Pd
0.500 0.500 0.336 Rh
0.500 0.500 0.664 Rh
0.000 0.000 0.164 Rh
0.000 0.000 0.836 Rh
```

---

DFT (PBE-GGA) results for Al6Ni10B after structural relaxation.

## Properties
* formation energy from the elements: -470 meV per atom
* total energy: -94.9 eV/cell
* space group: P-31m (162)
* density of states at the Fermi level: 0.370 states/eV per atom

Cell and atoms, written as POSCAR:
```
Al6Ni10B
1.0
-2.881 -0.270 3.868
-5.436 1.541 -3.942
1.840 -6.576 0.912
Al Ni B
6 10 1
direct
0.748 0.401 0.401 Al
0.748 0.000 0.599 Al
0.748 0.599 0.000 Al
0.252 0.599 0.599 Al
0.252 0.000 0.401 Al
0.252 0.401 0.000 Al
0.759 0.769 0.769 Ni
0.759 0.000 0.231 Ni
0.759 0.231 0.000 Ni
0.241 0.231 0.231 Ni
0.241 0.000 0.769 Ni
0.241 0.769 0.000 Ni
0.500 0.333 0.667 Ni
0.500 0.667 0.333 Ni
0.000 0.667 0.333 Ni
0.000 0.333 0.667 Ni
0.500 0.000 0.000 B
```

---

DFT (PBE-GGA) results for CaBeFeSb2 after structural relaxation.

## Properties
* total energy: -20.9 eV/cell
* space group: P4/mmm (123)
* density of states at the Fermi level: 1.202 states/eV per atom

Cell and atoms, written as POSCAR:
```
CaBeFeSb2
1.0
-3.500 0.723 3.504
0.014 -4.049 0.849
3.578 0.730 3.423
Sb Ca Fe Be
2 1 1 1
direct
0.000 0.000 0.500 Sb
0.500 0.000 0.000 Sb
0.500 0.500 0.500 Ca
0.000 0.500 0.000 Fe
0.000 0.000 0.000 Be
```

---

DFT (PBE-GGA) results for Tb2Dy3ThS6 after structural relaxation.

## Properties
* total energy: -78.8 eV/cell
* space group: C2/m (12)
* density of states at the Fermi level: 0.483 states/eV per atom

Cell and atoms, written as POSCAR:
```
Tb2Dy3ThS6
1.0
3.932 0.000 0.000
0.000 7.890 0.276
-1.966 -2.280 8.273
Tb Dy Th S
2 3 1 6
direct
0.835 0.670 0.670 Tb
0.165 0.330 0.330 Tb
0.500 0.500 0.000 Dy
0.836 0.166 0.672 Dy
0.164 0.834 0.328 Dy
0.500 0.000 0.000 Th
0.329 0.916 0.657 S
0.667 0.584 0.335 S
0.671 0.084 0.343 S
0.000 0.261 0.000 S
0.000 0.739 0.000 S
0.333 0.416 0.665 S
```